# 1
Tb3Ga2, relaxed, DFT PBE; E_tot = -180.96 eV per cell
1.0
-5.832 5.832 7.469
5.832 -5.832 7.469
5.832 5.832 -7.469
Tb Ga
24 16
direct
0.337 0.068 0.135
0.068 0.933 0.731
0.298 0.567 0.135
0.932 0.067 0.269
0.702 0.433 0.865
0.648 0.148 0.500
0.669 0.831 0.500
0.798 0.663 0.731
0.663 0.932 0.865
0.202 0.337 0.269
0.432 0.163 0.865
0.433 0.568 0.731
0.352 0.852 0.500
0.831 0.331 0.163
0.163 0.298 0.731
0.331 0.169 0.500
0.169 0.669 0.837
0.067 0.798 0.135
0.837 0.702 0.269
0.148 0.648 0.500
0.568 0.837 0.135
0.933 0.202 0.865
0.852 0.352 0.500
0.567 0.432 0.269
0.116 0.384 0.500
0.750 0.750 0.000
0.120 0.976 0.500
0.616 0.116 0.733
0.976 0.476 0.856
0.884 0.616 0.500
0.620 0.120 0.144
0.380 0.880 0.856
0.250 0.250 0.000
0.524 0.380 0.500
0.384 0.884 0.267
0.000 0.000 0.000
0.500 0.500 0.000
0.024 0.524 0.144
0.476 0.620 0.500
0.880 0.024 0.500

---

# 2
TbGa, relaxed, DFT PBE; E_tot = -6.69 eV per cell
1.0
0.000 3.277 3.277
3.277 0.000 3.277
3.277 3.277 0.000
Tb Ga
1 1
direct
0.250 0.250 0.250
0.000 0.000 0.000

---

# 3
TbGa2, relaxed, DFT PBE; E_tot = -12.66 eV per cell
1.0
4.226 0.000 0.000
-2.113 3.659 0.000
0.000 0.000 4.053
Ga Tb
2 1
direct
0.333 0.667 0.500
0.667 0.333 0.500
0.000 0.000 0.000

---

# 4
TbGa2, relaxed, DFT PBE; E_tot = -24.79 eV per cell
1.0
0.000 3.898 3.898
3.898 0.000 3.898
3.898 3.898 0.000
Ga Tb
4 2
direct
0.125 0.625 0.625
0.625 0.125 0.625
0.625 0.625 0.625
0.625 0.625 0.125
0.000 0.000 0.000
0.250 0.250 0.250

---

# 5
TbGa3, relaxed, DFT PBE; E_tot = -31.81 eV per cell
1.0
4.544 0.000 0.000
0.000 3.146 5.468
0.000 -3.146 5.468
Ga Tb
6 2
direct
0.000 0.294 0.852
0.500 0.149 0.705
0.500 0.148 0.148
0.500 0.705 0.149
0.000 0.852 0.294
0.000 0.852 0.852
0.000 0.333 0.333
0.500 0.667 0.667

---

# 6
TbGaTc, relaxed, DFT PBE; E_tot = -17.64 eV per cell
1.0
0.000 3.172 3.172
3.172 0.000 3.172
3.172 3.172 0.000
Tc Ga Tb
1 1 1
direct
0.750 0.750 0.750
0.000 0.000 0.000
0.250 0.250 0.250

---

# 7
TbGaTc3, relaxed, DFT PBE; E_tot = -76.03 eV per cell
1.0
-2.165 -7.438 2.374
4.456 -0.455 2.638
0.248 1.513 4.966
Tb Tc Ga
2 6 2
direct
0.000 0.333 0.333
0.500 0.333 0.333
0.250 0.350 0.825
0.250 0.825 0.350
0.750 0.825 0.825
0.250 0.825 0.825
0.750 0.350 0.825
0.750 0.825 0.350
0.500 0.000 0.000
0.000 0.000 0.000

---

# 8
Tb5GaTe4, relaxed, DFT PBE; E_tot = -51.05 eV per cell
1.0
-4.872 4.872 3.068
4.872 -4.872 3.068
4.872 4.872 -3.068
Tb Te Ga
5 4 1
direct
0.905 0.723 0.626
0.097 0.279 0.374
0.723 0.097 0.818
0.501 0.501 0.000
0.279 0.905 0.182
0.806 0.408 0.212
0.408 0.196 0.603
0.196 0.593 0.788
0.593 0.806 0.397
0.001 0.001 0.000

---

no.,ρ (g cm⁻³)
1,8.1
2,5.4
3,7.9
4,8.4
5,7.8
6,8.5
7,9.2
8,7.8